## MnTe2PdI (PBE)

Data for a relaxed MnTe2PdI crystal.

V in A^3/atom: 30.8
Excess energy over the best structure of this formula in the dataset in eV/atom: 0.000
Crystal system: tetragonal

a = 5.3222 Å, b = 5.3222 Å, c = 5.4396 Å
α = 90.00°, β = 90.00°, γ = 90.00°
Closest atoms and distances in Å follow each position.
Space group P4/mmm (No. 123)
Inequivalent atoms, fractional coordinates:
Mn (0.0000, 0.0000, 0.0000)  4 I 3.76, 8 Te 3.81
Te (0.0000, 0.5000, 0.5000)  2 Pd 2.66
Pd (0.5000, 0.5000, 0.5000)  4 Te 2.66, 2 I 2.72
I (0.5000, 0.5000, 0.0000)  2 Pd 2.72



## CeSc2Sb (PBE)

Data for a relaxed CeSc2Sb crystal.

V in A^3/atom: 25.9
Excess energy over the best structure of this formula in the dataset in eV/atom: 0.000
Crystal system: orthorhombic

a = 3.8876 Å, b = 11.8339 Å, c = 9.0236 Å
α = 90.00°, β = 90.00°, γ = 90.00°
Closest atoms and distances in Å follow each position.
Space group Cmcm (No. 63)
Inequivalent atoms, fractional coordinates:
Ce (0.0000, 0.0437, 0.2500)  3 Sb 3.25-3.32, 8 Sc 3.42-3.46
Sc (0.0000, 0.3642, 0.0380)  3 Sb 2.98-3.01, 1 Sc 3.29
Sb (0.0000, 0.2366, 0.7500)  6 Sc 2.98-3.01, 3 Ce 3.25-3.32



Which value of V does entry 1 give? 30.8 A^3/atom



Look up the excess energy over the best structure of this formula in the dataset of the second one. 0.000 eV/atom



Repeat the first record exactly.
## MnTe2PdI (PBE)

Data for a relaxed MnTe2PdI crystal.

V in A^3/atom: 30.8
Excess energy over the best structure of this formula in the dataset in eV/atom: 0.000
Crystal system: tetragonal

a = 5.3222 Å, b = 5.3222 Å, c = 5.4396 Å
α = 90.00°, β = 90.00°, γ = 90.00°
Closest atoms and distances in Å follow each position.
Space group P4/mmm (No. 123)
Inequivalent atoms, fractional coordinates:
Mn (0.0000, 0.0000, 0.0000)  4 I 3.76, 8 Te 3.81
Te (0.0000, 0.5000, 0.5000)  2 Pd 2.66
Pd (0.5000, 0.5000, 0.5000)  4 Te 2.66, 2 I 2.72
I (0.5000, 0.5000, 0.0000)  2 Pd 2.72



Number 2 is which compound? CeSc2Sb